Material: Y2Cd2Ga
Method: DFT, PBE
State: optimized geometry

Cell and atoms, written as POSCAR:
```
Y2Cd2Ga
1.0
-2.497 2.337 0.311
-3.129 -3.422 0.592
-0.423 -1.475 7.693
Y Cd Ga
2 2 1
Direct
0.500 0.392 0.216 Y
0.500 0.608 0.784 Y
0.000 0.198 0.604 Cd
0.000 0.802 0.396 Cd
0.000 0.000 0.000 Ga
```

***

Material: MgAgPtPb
Method: DFT, PBE
State: optimized geometry

Cell and atoms, written as POSCAR:
```
MgAgPtPb
1.0
-4.223 -2.175 0.782
-0.760 -4.452 -1.667
-0.269 -3.703 3.063
Pb Mg Ag Pt
1 1 1 1
Direct
0.000 0.000 0.000 Pb
0.500 0.500 0.500 Mg
0.750 0.750 0.750 Ag
0.250 0.250 0.250 Pt
```

***

Material: Cl
Method: DFT, PBE
State: optimized geometry

Cell and atoms, written as POSCAR:
```
Cl
1.0
-7.885 3.308 -8.477
-0.259 -11.293 -4.167
-3.291 -0.921 2.701
Cl
16
Direct
0.716 0.691 0.500 Cl
0.284 0.309 0.500 Cl
0.309 0.716 0.500 Cl
0.691 0.284 0.500 Cl
0.976 0.327 0.000 Cl
0.024 0.673 0.000 Cl
0.673 0.976 0.000 Cl
0.327 0.024 0.000 Cl
0.713 0.450 0.500 Cl
0.287 0.550 0.500 Cl
0.550 0.713 0.500 Cl
0.450 0.287 0.500 Cl
0.956 0.827 0.000 Cl
0.044 0.173 0.000 Cl
0.173 0.956 0.000 Cl
0.827 0.044 0.000 Cl
```

***

Calculated volume / Å³/cell: 120.2; 78.9; 631.5
Raw total energy / eV/atom: -3.90; -3.79; -1.83